Density functional theory data (GGA-PBE) for a geometry-optimized Nd4TmSe7 structure.

a b c (Å): 4.0790 7.1666 12.4361
angles (deg): 104.35 90.00 106.53
Atoms (fractional coordinates):
1 Nd 0.1120 0.2241 0.4259
2 Nd 0.9991 0.9983 0.9966
3 Se 0.2684 0.5369 0.6475
4 Se 0.6607 0.3214 0.0505
5 Se 0.0362 0.0724 0.7767
6 Se 0.3375 0.6749 0.9487
7 Nd 0.6988 0.3975 0.8070
8 Se 0.4939 0.9878 0.5041
9 Se 0.7442 0.4884 0.3578
10 Nd 0.3011 0.6023 0.1928
11 Se 0.9613 0.9227 0.2155
12 Tm 0.8867 0.7734 0.5767

* size of the total moment: 0.00 μB per formula unit
* mass density: 6.405 Mg/m³
* calculated total energy: -5.871 eV per atom



Density functional theory data (GGA-PBE) for a geometry-optimized NdTm2Se3 structure.

a b c (Å): 4.0631 5.7820 7.1251
angles (deg): 113.94 106.57 90.00
Atoms (fractional coordinates):
1 Tm 0.1587 0.1587 0.8175
2 Se 0.8205 0.3205 0.1410
3 Nd 0.5000 0.5000 0.5000
4 Se 0.1795 0.6795 0.8590
5 Tm 0.8413 0.8413 0.1825
6 Se 0.5000 0.0000 0.5000

* size of the total moment: 0.00 μB per formula unit
* mass density: 8.214 Mg/m³
* calculated total energy: -5.741 eV per atom



Density functional theory data (GGA-PBE) for a geometry-optimized NdTm5Se6 structure.

a b c (Å): 7.0174 7.0174 7.0366
angles (deg): 99.49 99.49 120.26
Atoms (fractional coordinates):
1 Tm 0.6648 0.3352 0.0000
2 Tm 0.3352 0.6648 0.0000
3 Tm 0.5000 0.5000 0.5000
4 Se 0.4331 0.0853 0.2587
5 Se 0.9147 0.5669 0.7413
6 Se 0.2623 0.2623 0.7485
7 Se 0.0853 0.4331 0.2587
8 Tm 0.8432 0.1568 0.5000
9 Tm 0.1568 0.8432 0.5000
10 Se 0.7377 0.7377 0.2515
11 Se 0.5669 0.9147 0.7413
12 Nd 0.0000 0.0000 0.0000

* size of the total moment: 0.00 μB per formula unit
* mass density: 8.601 Mg/m³
* calculated total energy: -5.693 eV per atom



Density functional theory data (GGA-PBE) for a geometry-optimized Nd4Tm3Se8 structure.

a b c (Å): 8.2493 8.2474 8.2474
angles (deg): 89.95 120.07 120.07
Atoms (fractional coordinates):
1 Nd 0.0000 0.5000 0.0000
2 Se 0.5000 0.2561 0.7439
3 Se 0.0128 0.2635 0.2635
4 Se 0.4844 0.7361 0.7361
5 Nd 0.5000 0.0000 0.0000
6 Se 0.0000 0.2577 0.7423
7 Se 0.5000 0.7439 0.2561
8 Se 0.5156 0.2639 0.2639
9 Tm 0.5000 0.5000 0.5000
10 Tm 0.5000 0.5000 0.0000
11 Se 0.9872 0.7365 0.7365
12 Nd 0.0000 0.0000 0.0000
13 Nd 0.0000 0.0000 0.5000
14 Tm 0.5000 0.0000 0.5000
15 Se 0.0000 0.7423 0.2577

* size of the total moment: 0.00 μB per formula unit
* mass density: 7.191 Mg/m³
* calculated total energy: -5.829 eV per atom



Density functional theory data (GGA-PBE) for a geometry-optimized NdTm2Se structure.

a b c (Å): 3.7487 3.7487 9.7792
angles (deg): 78.95 78.95 60.00
Site moments in Bohr magnetons follow the coordinates.
Atoms (fractional coordinates):
1 Se 0.6667 0.6667 0.9999  0.00
2 Tm 0.0647 0.0647 0.8058  0.08
3 Nd 0.4997 0.4997 0.5010  0.09
4 Tm 0.2689 0.2689 0.1934  0.05

* size of the total moment: 0.38 μB per formula unit
* mass density: 8.028 Mg/m³
* calculated total energy: -5.082 eV per atom



Density functional theory data (GGA-PBE) for a geometry-optimized NdTm2Se structure.

a b c (Å): 3.6655 3.6655 10.6468
angles (deg): 80.09 80.09 60.00
Atoms (fractional coordinates):
1 Tm 0.8908 0.8908 0.3274
2 Se 0.5000 0.5000 0.5000
3 Nd 0.0000 0.0000 0.0000
4 Tm 0.1092 0.1092 0.6726

* size of the total moment: 0.00 μB per formula unit
* mass density: 7.674 Mg/m³
* calculated total energy: -4.847 eV per atom



Density functional theory data (GGA-PBE) for a geometry-optimized NdTm2Se4 structure.

a b c (Å): 4.0735 6.9768 7.1877
angles (deg): 107.96 90.00 90.00
Atoms (fractional coordinates):
1 Nd 0.0000 0.0000 0.0000
2 Tm 0.5000 0.0000 0.5000
3 Tm 0.0000 0.5000 0.5000
4 Se 0.5000 0.7373 0.7401
5 Se 0.5000 0.2627 0.2599
6 Se 0.0000 0.2443 0.7328
7 Se 0.0000 0.7557 0.2672

* size of the total moment: 0.00 μB per formula unit
* mass density: 6.819 Mg/m³
* calculated total energy: -5.818 eV per atom



Density functional theory data (GGA-PBE) for a geometry-optimized NdTmSe2 structure.

a b c (Å): 3.9380 3.9381 7.5196
angles (deg): 90.01 90.00 120.00
Atoms (fractional coordinates):
1 Se 0.3333 0.1666 0.2301
2 Tm 0.0000 0.5000 0.0000
3 Nd 0.0000 0.5000 0.5000
4 Se 0.6667 0.8334 0.7699

* size of the total moment: 0.00 μB per formula unit
* mass density: 7.746 Mg/m³
* calculated total energy: -5.755 eV per atom



The highest size of the total moment belongs to which entry?
number 5



What is the size of the total moment in the fourth record?
0.00 μB per formula unit